Density functional theory data (GGA-PBE) for a relaxed structure of Ta2Nb2Ru.

## Properties
E_form: -22.7 kJ per mole of atoms
energy above the lowest structure with this stoichiometry: 0 meV per atom
spin magnetization: 0.00 μB/f.u.
ρ: 12.50 g cm⁻³

Lattice parameters (Å, degrees): 3.237 3.237 8.538 100.93 100.93 90.00
Atoms (fractional coordinates):
Ta 0.597 0.597 0.193
Ta 0.403 0.403 0.807
Ru 0.000 0.000 0.000
Nb 0.800 0.800 0.599
Nb 0.200 0.200 0.401